Record 1
Below is a geometry-optimized YCdFeC structure, with properties calculated at the PBE level.

Cell lengths 3.655, 3.655, 10.158 Å; angles 90.00, 90.00, 90.00 degrees
Fractional positions:
Cd1 0.250 0.750 0.500
Cd2 0.750 0.250 0.500
C1 0.250 0.250 0.083
C2 0.750 0.750 0.917
Y1 0.250 0.250 0.788
Y2 0.750 0.750 0.212
Fe1 0.250 0.750 0.000
Fe2 0.750 0.250 0.000

## Properties
Space-group type ... No. 129
ρ ... 6.59 Mg/m³
DFT total energy ... -6.258 eV/atom
Energy relative to the elements ... 0.01 eV per atom



Record 2
Below is a geometry-optimized Zr2CdFeC structure, with properties calculated at the PBE level.

Cell lengths 4.662, 4.662, 3.796 Å; angles 90.00, 90.00, 90.00 degrees
Fractional positions:
C1 0.000 0.000 0.000
Zr1 0.500 0.000 0.000
Zr2 0.000 0.500 0.000
Fe1 0.000 0.000 0.500
Cd1 0.500 0.500 0.500

## Properties
Space-group type ... No. 123
ρ ... 7.30 Mg/m³
DFT total energy ... -7.409 eV/atom
Energy relative to the elements ... -0.27 eV per atom